[1]
MnH18C4N8Cl4O4 PBE with a Hubbard U relaxed; SG = P2_1/c; uncorrected energy = -5.74 eV per atom
1.0
6.531 0.000 -0.103
0.000 11.450 0.000
-2.956 0.000 11.854
Mn H C N Cl O
2 36 8 16 8 8
Cartesian
1.787 0.000 5.875
0.000 5.725 0.000
0.342 2.495 5.965
5.085 3.230 -0.014
3.233 8.955 5.786
-1.511 8.219 11.765
-0.690 1.333 5.797
1.097 4.392 11.672
4.265 10.116 5.954
2.477 7.058 0.078
-0.577 3.384 2.533
1.211 2.341 8.408
4.151 8.066 9.218
2.364 9.109 3.343
-0.161 2.115 3.688
1.626 3.610 9.563
3.736 9.335 8.063
1.948 7.840 2.188
0.082 0.008 2.976
1.869 5.717 8.852
3.493 11.442 8.775
1.706 5.733 2.899
5.413 8.429 1.697
0.669 8.746 7.675
-1.838 3.021 10.054
2.905 2.704 4.076
-0.517 9.296 3.212
1.270 7.879 9.088
4.092 2.154 8.539
2.305 3.571 2.663
4.473 9.662 -0.064
-0.270 7.513 5.914
-0.899 1.788 11.815
3.845 3.937 5.837
4.667 11.449 -0.045
-0.077 5.726 5.933
-1.092 0.001 11.796
3.651 5.724 5.818
5.638 1.469 1.763
0.895 4.256 7.741
-2.063 9.981 9.988
2.680 7.194 4.010
5.422 10.469 1.542
0.679 6.706 7.520
-1.847 0.981 10.209
2.896 4.744 4.231
-0.501 2.385 2.755
1.286 3.340 8.630
4.076 9.065 8.996
2.289 8.110 3.121
5.872 0.148 2.165
1.129 5.577 8.144
-2.298 11.302 9.586
2.446 5.873 3.607
5.693 9.306 2.135
0.950 7.868 8.113
-2.118 2.144 9.616
2.625 3.581 3.638
4.756 10.532 0.396
0.013 6.642 6.374
-1.181 0.918 11.355
3.562 4.807 5.377
2.309 11.432 3.416
4.096 5.743 9.292
1.266 0.018 8.335
-0.522 5.707 2.459
-0.147 9.756 5.446
1.641 7.418 11.321
3.721 1.694 6.305
1.934 4.031 0.429
0.217 1.604 5.507
2.004 4.121 11.383
3.358 9.846 6.243
1.570 7.329 0.368
5.112 1.724 0.648
0.369 4.000 6.627
-1.538 9.725 11.103
3.206 7.449 5.124

***

[2]
MnPH15C3NCl3O3 PBE with a Hubbard U relaxed; SG = P2_1; uncorrected energy = -5.13 eV per atom
1.0
-6.648 1.584 -8.447
-0.978 -6.344 -0.420
-6.969 -0.864 5.323
Mn P H C N Cl O
2 2 30 6 2 6 6
Cartesian
-12.700 0.720 -3.800
-5.175 -5.562 -3.912
-9.102 -3.313 -7.425
-8.808 -1.520 -0.332
-5.125 -6.466 1.074
-7.808 0.446 -2.507
-5.857 -5.614 -0.218
-9.004 0.054 -3.666
-3.485 -0.097 -0.077
-10.450 -5.684 -2.630
-12.220 -1.915 -2.703
-3.782 -3.374 -2.629
-5.485 -0.122 -6.787
-9.679 -5.366 2.518
-7.191 -3.194 3.259
-5.793 -2.813 -4.757
-8.314 -2.114 3.473
-5.501 -3.696 -6.026
-8.101 -3.976 -5.355
-6.972 -1.534 1.202
-9.597 -2.993 -5.110
-6.538 -2.263 -0.393
-9.729 -4.710 -5.603
-6.667 -0.484 -0.232
-1.683 -2.937 -0.115
-10.434 -3.277 -0.280
-9.006 -0.977 -6.934
-8.782 -3.885 -0.668
-7.385 -1.708 -7.083
-9.201 -3.442 1.008
-4.219 -3.996 -0.354
-9.834 -1.757 -2.503
-4.736 -4.089 1.361
-8.057 -1.964 -2.616
-4.213 -4.617 0.551
-8.864 -1.369 -2.168
-9.130 -3.796 -5.698
-7.072 -1.445 0.111
-8.391 -1.676 -7.518
-9.367 -3.194 -0.046
-4.952 -5.869 0.231
-8.760 0.035 -2.654
-7.479 -5.278 2.620
-5.956 -0.621 -4.693
-10.710 -0.074 -5.271
-6.932 -4.823 -2.147
-12.062 -4.155 -2.759
-3.475 -1.244 -1.983
-1.828 -5.935 0.109
-9.649 -0.431 0.308
-12.169 -0.972 -2.414
-3.688 -4.351 -2.735
-7.329 -2.232 3.449
-5.749 -3.753 -5.067